Record 1
Material: DyY2HoO6
Method: DFT, PBE-GGA
State: optimized geometry

Summary:
As for the density: 6.74 Mg/m³. For the uncorrected formation energy, the calculation gives -3.53 eV/atom. For the total DFT energy (no corrections), the calculation gives -8.712 eV/atom. The size of the total moment is 0.000 μB/f.u.

Lattice parameters (Å, degrees): 5.8130 5.8130 15.1965 90.00 90.00 120.00
Space group R3 (No. 146, hexagonal axes)
Asymmetric unit:
1 Dy 0.0000 0.0000 0.0000 x3
2 Y 0.0000 0.0000 0.2829 x3
3 Y 0.0000 0.0000 0.7833 x3
4 Ho 0.0000 0.0000 0.4993 x3
5 O 0.0416 0.3715 0.5585 x9
6 O 0.0421 0.6684 0.0588 x9

---

Record 2
Material: La2YPbS
Method: DFT, PBE-GGA
State: optimized geometry

Summary:
As for the density: 6.37 Mg/m³. For the uncorrected formation energy, the calculation gives -0.95 eV/atom. For the total DFT energy (no corrections), the calculation gives -5.784 eV/atom. The size of the total moment is 0.000 μB/f.u.

Lattice parameters (Å, degrees): 5.522 5.522 5.184 90.00 90.00 90.00
Space group P4/mmm (No. 123)
Asymmetric unit:
1 La 0.000 0.500 0.000 x2
2 Y 0.000 0.000 0.500 x1
3 Pb 0.500 0.500 0.500 x1
4 S 0.000 0.000 0.000 x1

---

Record 3
Material: Rb3Tm3TiO8
Method: DFT, PBE-GGA
State: optimized geometry

Summary:
As for the density: 6.15 Mg/m³. For the uncorrected formation energy, the calculation gives -2.83 eV/atom. For the total DFT energy (no corrections), the calculation gives -7.088 eV/atom. The size of the total moment is 0.000 μB/f.u.

Lattice parameters (Å, degrees): 6.6657 6.6657 19.7775 90.00 90.00 120.00
Space group R-3m (No. 166, hexagonal axes)
Asymmetric unit:
1 Rb 0.0000 0.5000 0.0000 x9
2 Tm 0.0000 0.5000 0.5000 x9
3 Ti 0.0000 0.0000 0.5000 x3
4 O 0.0000 0.0000 0.2232 x6
5 O 0.0300 0.5150 0.2203 x18

---

Record 4
Material: NaMgTlPd2
Method: DFT, PBE-GGA
State: optimized geometry

Summary:
The formation energy is 587 meV/atom. As for the density: 6.48 Mg/m³. For the total DFT energy (no corrections), the calculation gives -2.546 eV/atom. The size of the total moment is 0.000 μB/f.u.

Lattice parameters (Å, degrees): 4.814 4.814 5.134 90.00 90.00 90.00
Space group P4/mmm (No. 123)
Asymmetric unit:
1 Na 0.000 0.000 0.000 x1
2 Mg 0.500 0.500 0.500 x1
3 Tl 0.000 0.000 0.500 x1
4 Pd 0.000 0.500 0.000 x2

---

Record 5
Material: ZnC3
Method: DFT, PBE-GGA
State: optimized geometry

Summary:
The formation energy is 2538 meV/atom. As for the density: 5.17 Mg/m³. For the total DFT energy (no corrections), the calculation gives -4.699 eV/atom. The value obtained for the relative energy among the computed polymorphs is 8.34 eV/f.u. The size of the total moment is 0.000 μB/f.u.

Lattice parameters (Å, degrees): 2.668 2.668 18.320 90.00 90.00 90.00
Space group I4/mmm (No. 139)
Asymmetric unit:
1 Zn 0.000 0.000 0.148 x4
2 C 0.000 0.000 0.434 x4
3 C 0.000 0.500 0.000 x4
4 C 0.000 0.500 0.250 x4

---

Record 6
Material: Te2PIrN
Method: DFT, PBE-GGA
State: optimized geometry

Summary:
As for the density: 9.21 Mg/m³. For the uncorrected formation energy, the calculation gives 0.72 eV/atom. For the total DFT energy (no corrections), the calculation gives -5.055 eV/atom. The value obtained for the relative energy among the computed polymorphs is 0.52 eV/f.u. The size of the total moment is 0.000 μB/f.u.

Lattice parameters (Å, degrees): 5.252 5.252 3.219 90.00 90.00 90.00
Space group P4/mmm (No. 123)
Asymmetric unit:
1 Te 0.000 0.500 0.000 x2
2 P 0.000 0.000 0.000 x1
3 Ir 0.500 0.500 0.500 x1
4 N 0.000 0.000 0.500 x1

---

The highest total DFT energy (no corrections) belongs to which entry? NaMgTlPd2

---

Which of these has the lowest density? ZnC3

---

Which of these has the lowest density? ZnC3